Computed, not measured: a relaxed Ni2IrOsN crystal at the PBE level of DFT.

Computed properties:
- Energy relative to the elements, uncorrected: 2.630 eV/atom
- SG: P4/mmm (123)

Lattice parameters (Å, degrees): 4.573 4.573 4.677 90.00 90.00 90.00
Element x y z (fractional)
Ni: 0.000 0.500 0.000
Ni: 0.500 0.000 0.000
Ir: 0.000 0.000 0.000
Os: 0.000 0.000 0.500
N: 0.500 0.500 0.500